Record 1
MgTiP2O | the Alexandria database | PBE-GGA | optimized geometry; calculated volume = 90.21 Å³/f.u.; uncorrected formation energy = -688 meV/atom; DOS(E_F) = 4.24 states/eV/cell; E = -28.71 eV/cell; symmetry = P4/mmm, No. 123; ΔE to the lowest computed polymorph = 0 meV per atom
1.0
-0.8760 4.5866 1.6673
-4.7312 -1.2136 0.8528
0.8858 -1.0659 3.3978
P Ti Mg O
2 1 1 1
direct
0.5000 0.0000 0.0000
0.0000 0.5000 0.0000
0.0000 0.0000 0.0000
0.5000 0.5000 0.5000
0.0000 0.0000 0.5000

=====

Record 2
Zn2SnIBr | the Alexandria database | PBE-GGA | optimized geometry; calculated volume = 179.35 Å³/f.u.; uncorrected formation energy = 397 meV/atom; DOS(E_F) = 3.45 states/eV/cell; E = -7.79 eV/cell; symmetry = P4/mmm, No. 123
1.0
-2.1384 0.2409 -5.0630
-0.0322 -5.4956 -0.2479
-5.4601 -0.0719 2.3027
I Sn Br Zn
1 1 1 2
direct
0.5000 0.5000 0.5000
0.0000 0.0000 0.5000
0.0000 0.0000 0.0000
0.5000 0.0000 0.0000
0.0000 0.5000 0.0000

=====

Record 3
ThZrRh4 | the Alexandria database | PBE-GGA | optimized geometry; calculated volume = 107.40 Å³/f.u.; DOS(E_F) = 6.75 states/eV/cell; E = -49.16 eV/cell; symmetry = F-43m, No. 216; ΔH_f (0 K) = -0.63 eV per atom
1.0
-3.1555 2.5830 -3.4407
-5.1864 0.6226 1.0869
-1.9060 4.8279 1.2355
Zr Rh Th
1 4 1
direct
0.0000 0.0000 0.0000
0.6255 0.6255 0.1236
0.6255 0.1236 0.6255
0.1236 0.6255 0.6255
0.6255 0.6255 0.6255
0.2500 0.2500 0.2500

=====

Record 4
MnP3 | the Alexandria database | PBE-GGA | optimized geometry; calculated volume = 57.22 Å³/f.u.; DOS(E_F) = 0.72 states/eV/cell; E = -51.22 eV/cell; symmetry = Cm, No. 8; ΔH_f (0 K) = -0.05 eV per atom; ΔE to the lowest computed polymorph = 106 meV per atom
1.0
4.6267 0.0000 -0.0007
0.0000 3.1682 0.0000
-2.2383 0.0000 7.8081
Mn P
2 6
direct
0.5729 0.0000 0.2191
0.5729 0.5000 0.7191
0.4652 0.5000 0.0064
0.9684 0.0000 0.4413
0.4652 0.0000 0.5064
0.9684 0.5000 0.9413
0.0350 0.0000 0.1373
0.0350 0.5000 0.6373

=====

Record 5
ZnCoRh3 | the Alexandria database | PBE-GGA | optimized geometry; calculated volume = 90.75 Å³/f.u.; DOS(E_F) = 8.24 states/eV/cell; E = -23.92 eV/cell; symmetry = Pm-3m, No. 221; ΔH_f (0 K) = 1.30 eV per atom; ΔE to the lowest computed polymorph = 383 meV per atom
1.0
-3.1441 -1.6518 2.7533
3.1995 -1.9343 2.4932
0.2687 3.7046 2.5294
Rh Co Zn
3 1 1
direct
0.0000 0.0000 0.5000
0.5000 0.0000 0.0000
0.0000 0.5000 0.0000
0.5000 0.5000 0.5000
0.0000 0.0000 0.0000

=====

Record 6
H3Pd8Au2 | the Alexandria database | PBE-GGA | optimized geometry; calculated volume = 174.66 Å³/f.u.; DOS(E_F) = 12.81 states/eV/cell; E = -57.58 eV/cell; symmetry = C2/m, No. 12; ΔE to the lowest computed polymorph = 107 meV per atom
1.0
4.8312 0.0000 -0.0994
0.0000 5.6575 0.0000
-2.0362 -2.8287 6.4322
Pd Au H
8 2 3
direct
0.8923 0.1393 0.2785
0.0986 0.3662 0.7324
0.6657 0.6901 0.8719
0.1077 0.8607 0.7215
0.6657 0.1818 0.8719
0.3343 0.3099 0.1281
0.9014 0.6338 0.2676
0.3343 0.8182 0.1281
0.5091 0.7482 0.4964
0.4909 0.2518 0.5036
0.5000 0.0000 0.0000
0.0000 0.3474 0.0000
0.0000 0.6526 0.0000

=====

Record 7
SrNiP2 | the Alexandria database | PBE-GGA | optimized geometry; calculated volume = 80.58 Å³/f.u.; DOS(E_F) = 0.73 states/eV/cell; E = -21.10 eV/cell; symmetry = P2/m, No. 10; ΔH_f (0 K) = -0.70 eV per atom
1.0
3.7521 0.0000 0.0000
0.0000 4.5000 -0.1557
0.0000 0.7539 4.7463
Sr P Ni
1 2 1
direct
0.5000 0.2500 0.2500
0.0000 0.5007 0.6599
0.0000 0.9993 0.8401
0.5000 0.7500 0.7500

=====

Record 8
LiPuF5 | the Alexandria database | PBE-GGA | optimized geometry; calculated volume = 104.54 Å³/f.u.; uncorrected formation energy = -3262 meV/atom; DOS(E_F) = 14.17 states/eV/cell; E = -96.88 eV/cell; symmetry = C2/c, No. 15
1.0
4.6741 -2.1124 0.4078
0.1282 5.1277 0.4078
-1.0067 -0.6321 8.4554
Li Pu F
2 2 10
direct
0.3433 0.6567 0.2500
0.6567 0.3433 0.7500
0.0000 0.0000 0.0000
0.0000 0.0000 0.5000
0.0358 0.3617 0.3716
0.5755 0.7845 0.4342
0.1125 0.8875 0.2500
0.7845 0.5755 0.9342
0.8875 0.1125 0.7500
0.3617 0.0358 0.8716
0.6383 0.9642 0.1284
0.2155 0.4245 0.0658
0.4245 0.2155 0.5658
0.9642 0.6383 0.6284

=====

Record 9
KSr2Sn | the Alexandria database | PBE-GGA | optimized geometry; calculated volume = 203.11 Å³/f.u.; DOS(E_F) = 3.41 states/eV/cell; E = -7.71 eV/cell; symmetry = R-3m, No. 166; ΔH_f (0 K) = 0.19 eV per atom
1.0
4.0563 0.0000 0.0000
2.0282 3.5129 0.0000
2.0282 1.1710 14.2542
Sr Sn K
2 1 1
direct
0.0773 0.0773 0.7682
0.9227 0.9227 0.2318
0.0000 0.0000 0.0000
0.5000 0.5000 0.5000

=====

Record 10
Ca2FeRu | the Alexandria database | PBE-GGA | optimized geometry; calculated volume = 89.10 Å³/f.u.; DOS(E_F) = 4.26 states/eV/cell; E = -20.66 eV/cell; symmetry = Imm2, No. 44; ΔH_f (0 K) = 0.27 eV per atom; ΔE to the lowest computed polymorph = 50 meV per atom
1.0
5.9461 0.3588 -0.2822
4.7119 3.6446 -0.2822
2.2141 0.8317 4.3421
Ru Ca Fe
1 2 1
direct
0.7934 0.7934 0.7068
0.2366 0.2366 0.2635
0.0223 0.0223 0.9777
0.4477 0.4477 0.5521

=====

Record 11
Sm2GaCo | the Alexandria database | PBE-GGA | optimized geometry; calculated volume = 95.25 Å³/f.u.; DOS(E_F) = 4.63 states/eV/cell; E = -20.52 eV/cell; symmetry = Immm, No. 71; ΔH_f (0 K) = -0.24 eV per atom
1.0
-0.8616 4.0393 0.6958
-4.4638 -0.7795 -1.0019
1.7844 -2.6275 4.8698
Co Sm Ga
1 2 1
direct
0.5000 0.0091 0.0000
0.1705 0.1793 0.3412
0.8294 0.8385 0.6588
0.5001 0.5091 0.0000

=====

Record 12
Ca3Tl5O12 | the Alexandria database | PBE-GGA | optimized geometry; calculated volume = 312.92 Å³/f.u.; uncorrected formation energy = -1148 meV/atom; DOS(E_F) = 44.64 states/eV/cell; E = -401.17 eV/cell; symmetry = Ia-3d, No. 230
1.0
11.7590 0.0000 0.0000
-3.9197 11.0865 0.0000
-3.9197 -5.5432 9.6012
O Tl Ca
48 20 12
direct
0.2160 0.6699 0.0811
0.3650 0.9539 0.7840
0.1350 0.4189 0.0888
0.7160 0.1350 0.0461
0.8301 0.9189 0.2840
0.7160 0.5811 0.1699
0.5888 0.9539 0.6699
0.7840 0.3301 0.9189
0.6699 0.2160 0.5811
0.4539 0.6699 0.0888
0.6350 0.0461 0.2160
0.1699 0.0888 0.9539
0.2840 0.4189 0.8301
0.9112 0.0811 0.8650
0.3301 0.7840 0.4189
0.0811 0.1699 0.2160
0.9539 0.5888 0.1699
0.9112 0.8301 0.5461
0.5461 0.2160 0.1350
0.0888 0.9189 0.1350
0.2160 0.5461 0.6350
0.1350 0.7160 0.5461
0.0811 0.9112 0.3650
0.9189 0.8301 0.7840
0.5811 0.7160 0.6699
0.9539 0.3650 0.2840
0.3301 0.5461 0.4112
0.1699 0.0811 0.7160
0.4112 0.0461 0.3301
0.0888 0.1699 0.4539
0.8301 0.9112 0.0461
0.4189 0.1350 0.5888
0.2840 0.8650 0.9539
0.5461 0.3301 0.9112
0.8650 0.2840 0.4539
0.6350 0.5888 0.9189
0.7840 0.4539 0.3650
0.6699 0.4539 0.5888
0.5811 0.8650 0.4112
0.5888 0.6350 0.4189
0.3650 0.4112 0.0811
0.4112 0.3650 0.5811
0.0461 0.6350 0.7160
0.9189 0.0888 0.6350
0.0461 0.4112 0.8301
0.4189 0.2840 0.3301
0.4539 0.7840 0.8650
0.8650 0.5811 0.9112
0.3750 0.1250 0.7500
0.5000 0.0000 0.0000
0.1250 0.3750 0.2500
0.1250 0.7500 0.3750
0.6250 0.8750 0.2500
0.8750 0.2500 0.6250
0.2500 0.8750 0.1250
0.2500 0.3750 0.6250
0.0000 0.5000 0.0000
0.5000 0.5000 0.0000
0.0000 0.5000 0.5000
0.0000 0.0000 0.0000
0.0000 0.0000 0.5000
0.5000 0.5000 0.5000
0.7500 0.6250 0.3750
0.7500 0.1250 0.8750
0.8750 0.6250 0.7500
0.5000 0.0000 0.5000
0.3750 0.2500 0.1250
0.6250 0.7500 0.8750
0.2500 0.6250 0.8750
0.8750 0.7500 0.1250
0.6250 0.2500 0.3750
0.6250 0.3750 0.7500
0.8750 0.1250 0.2500
0.1250 0.8750 0.7500
0.2500 0.1250 0.3750
0.7500 0.8750 0.6250
0.1250 0.2500 0.8750
0.3750 0.7500 0.6250
0.3750 0.6250 0.2500
0.7500 0.3750 0.1250

=====

Which value of DOS(E_F) does entry 8 give?
14.17 states/eV/cell

=====

Which of these has the lowest E?
Ca3Tl5O12

=====

Which of these has the highest calculated volume?
Ca3Tl5O12

=====

Which value of DOS(E_F) does entry 6 give?
12.81 states/eV/cell